Material: CeHPd6
Method: DFT, GGA-PBE
State: relaxed

## Properties
The space-group type is R-3m, No. 166. The total energy is -42.82 eV for the cell shown. The size of the total moment is 0.17 μB/f.u.

Cell and atoms, written as POSCAR:
```
CeHPd6
1.0
-5.346 0.114 1.273
-3.314 -4.048 -1.687
-1.947 -3.818 4.031
Ce Pd H
1 6 1
direct
0.500 0.500 0.500 Ce
0.094 0.584 0.229 Pd
0.416 0.906 0.771 Pd
0.906 0.906 0.771 Pd
0.906 0.416 0.771 Pd
0.584 0.094 0.229 Pd
0.094 0.094 0.229 Pd
0.000 0.000 0.000 H
```

Material: YMoC2
Method: DFT, GGA-PBE
State: relaxed

## Properties
As for the formation enthalpy at 0 K: 0.63 eV/f.u. The space-group type is I-42d, No. 122. For the energy above the most stable polymorph in this dataset, the calculation gives 0.400 eV per atom. The total energy is -70.22 eV for the cell shown. The size of the total moment is 0.00 μB/f.u.

Cell and atoms, written as POSCAR:
```
YMoC2
1.0
5.074 0.000 0.000
0.000 5.074 0.000
2.537 2.537 5.024
Y Mo C
2 2 4
direct
0.250 0.750 0.500 Y
0.500 0.500 0.000 Y
0.750 0.250 0.500 Mo
0.000 0.000 0.000 Mo
0.375 0.303 0.750 C
0.697 0.125 0.250 C
0.053 0.625 0.250 C
0.875 0.947 0.750 C
```

Material: BSeIBr2
Method: DFT, GGA-PBE
State: relaxed

## Properties
The space-group type is P4/mmm, No. 123. For the energy above the most stable polymorph in this dataset, the calculation gives 0.676 eV per atom. The total energy is -8.55 eV for the cell shown. The size of the total moment is 0.00 μB/f.u. The formation energy (no corrections) is 1.30 eV per atom.

Cell and atoms, written as POSCAR:
```
BSeIBr2
1.0
-2.743 -2.223 -4.547
3.065 -4.846 0.520
-3.822 -2.062 3.314
B Br I Se
1 2 1 1
direct
0.500 0.500 0.500 B
0.500 0.000 0.000 Br
0.000 0.500 0.000 Br
0.000 0.000 0.000 I
0.000 0.000 0.500 Se
```